[1]
Below is a relaxed TbEuAlCu crystal, with properties calculated at the GGA-PBE level.

Cell lengths 5.1518, 5.1518, 5.1518 Å; angles 60.00, 60.00, 60.00 degrees
With the nearest neighbours (Å) after each atom.
Positions (direct):
Eu (0.2500, 0.2500, 0.2500)  4 Cu 3.15, 4 Al 3.15
Tb (0.7500, 0.7500, 0.7500)  4 Al 3.15, 4 Cu 3.15
Al (0.0000, 0.0000, 0.0000)  4 Tb 3.15, 4 Eu 3.15
Cu (0.5000, 0.5000, 0.5000)  4 Tb 3.15, 4 Eu 3.15

Values from the calculation:
Total DFT energy (no corrections), eV/atom: -5.86
N(E_F), states/eV/atom: 1.530

[2]
Below is a relaxed EuTmAlCu crystal, with properties calculated at the GGA-PBE level.

Cell lengths 5.1006, 5.1006, 5.1006 Å; angles 60.00, 60.00, 60.00 degrees
With the nearest neighbours (Å) after each atom.
Positions (direct):
Eu (0.0000, 0.0000, 0.0000)  4 Cu 3.12, 4 Al 3.12
Tm (0.5000, 0.5000, 0.5000)  4 Al 3.12, 4 Cu 3.12
Al (0.7500, 0.7500, 0.7500)  4 Tm 3.12, 4 Eu 3.12
Cu (0.2500, 0.2500, 0.2500)  4 Tm 3.12, 4 Eu 3.12

Values from the calculation:
Total DFT energy (no corrections), eV/atom: -5.82
N(E_F), states/eV/atom: 1.532